Below is a relaxed MnNi2Cl crystal, with properties calculated at the PBEsol level.

Cell: 2.781 4.179 4.221 Å, 90.00 90.00 90.00°
Space group Pmmm (No. 47)
Unique sites:
Mn 0.000 0.000 0.000 (multiplicity 1)
Ni 0.000 0.500 0.500 (multiplicity 1)
Ni 0.500 0.500 0.000 (multiplicity 1)
Cl 0.500 0.000 0.500 (multiplicity 1)

Results
**DOS(E_F)**: 0.744 states/eV/atom
**Calculated volume**: 12.27 A^3/atom
**Relative energy among the computed polymorphs**: 199 meV/atom